A relaxed BaCePt crystal, computed with PBE.

Lattice parameters (Å, degrees): 7.395 7.395 7.395 150.43 150.43 42.31
Atoms (fractional coordinates):
Ba 0.000 0.000 0.000
Ce 0.255 0.255 0.000
Pt 0.667 0.667 0.000

Polymorph energy (0 for the lowest one) = 0 meV/atom
Space group = I4mm (107)

***

A relaxed BaCePt10 crystal, computed with PBE.

Lattice parameters (Å, degrees): 4.414 5.515 9.525 90.00 90.00 90.00
Atoms (fractional coordinates):
Ba 0.000 0.000 0.000
Ce 0.000 0.500 0.500
Pt 0.000 0.000 0.340
Pt 0.000 0.000 0.660
Pt 0.000 0.500 0.179
Pt 0.000 0.500 0.821
Pt 0.500 0.000 0.500
Pt 0.500 0.254 0.258
Pt 0.500 0.254 0.742
Pt 0.500 0.500 0.000
Pt 0.500 0.746 0.258
Pt 0.500 0.746 0.742

E_tot = -75.7 eV per cell
Space group = Pmmm (47)

***

A relaxed BaCe2Pt crystal, computed with PBE.

Lattice parameters (Å, degrees): 11.038 11.038 11.038 21.31 21.31 21.31
Atoms (fractional coordinates):
Ba 0.000 0.000 0.000
Ce 0.117 0.117 0.117
Ce 0.883 0.883 0.883
Pt 0.500 0.500 0.500

E_tot = -20.9 eV per cell
Space group = R-3m (166)

***

A relaxed BaCe4Pt3S12 crystal, computed with PBE.

Lattice parameters (Å, degrees): 8.586 8.586 8.586 109.47 109.47 109.47
Atoms (fractional coordinates):
Ba 0.000 0.000 0.000
Ce 0.000 0.000 0.500
Ce 0.000 0.500 0.000
Ce 0.500 0.000 0.000
Ce 0.500 0.500 0.500
Pt 0.000 0.500 0.500
Pt 0.500 0.000 0.500
Pt 0.500 0.500 0.000
S 0.155 0.320 0.475
S 0.155 0.680 0.835
S 0.165 0.845 0.320
S 0.320 0.165 0.845
S 0.320 0.475 0.155
S 0.475 0.155 0.320
S 0.525 0.845 0.680
S 0.680 0.525 0.845
S 0.680 0.835 0.155
S 0.835 0.155 0.680
S 0.845 0.320 0.165
S 0.845 0.680 0.525

Space group = Im-3 (204)
E_form (uncorrected) = -122 kJ per mole of atoms

***

| no. | density (g cm⁻³) |
| --- | --- |
| 1 | 7.99 |
| 2 | 15.96 |
| 3 | 6.54 |
| 4 | 5.68 |